Entry A
AsPtIO2 | PBE | optimized geometry

Cell lengths 3.769, 3.769, 6.767 Å; angles 90.00, 90.00, 90.00 degrees
Fractional coordinates of all 5 atoms:
I 0.000 0.000 0.500
As 0.000 0.000 0.000
O 0.000 0.500 0.000
O 0.500 0.000 0.000
Pt 0.500 0.500 0.500

## Properties
V	96.1	Å³/cell
space group	P4/mmm (123)


Entry B
AsPtIO2 | PBE | optimized geometry

Cell lengths 3.872, 3.872, 8.228 Å; angles 90.00, 90.00, 90.00 degrees
Fractional coordinates of all 5 atoms:
I 0.000 0.000 0.500
As 0.500 0.500 0.500
O 0.000 0.500 0.000
O 0.500 0.000 0.000
Pt 0.000 0.000 0.000

## Properties
V	123.4	Å³/cell
space group	P4/mmm (123)


It is entry A that is most stable; the runner-up trails by 0.309 eV/atom.


Entry A
RbAsIO2 | PBE | optimized geometry

Cell lengths 5.243, 6.365, 8.928 Å; angles 110.88, 90.00, 90.00 degrees
Fractional coordinates of all 10 atoms:
Rb 0.250 0.610 0.219
Rb 0.750 0.390 0.781
As 0.250 0.962 0.923
As 0.750 0.038 0.077
I 0.750 0.767 0.533
I 0.250 0.233 0.467
O 0.500 0.188 0.000
O 0.000 0.812 0.000
O 0.500 0.812 0.000
O 0.000 0.188 0.000

## Properties
V	278.4	Å³/cell
space group	Cmcm (63)


Entry B
RbAsIO2 | PBE | optimized geometry

Cell lengths 4.434, 4.434, 7.220 Å; angles 90.00, 90.00, 90.00 degrees
Fractional coordinates of all 5 atoms:
I 0.000 0.000 0.500
As 0.500 0.500 0.500
O 0.000 0.500 0.000
O 0.500 0.000 0.000
Rb 0.000 0.000 0.000

## Properties
V	142.0	Å³/cell
space group	P4/mmm (123)


It is entry A that is most stable; the runner-up trails by 2.022 eV/atom.


Entry A
RbAsI2O | PBE | optimized geometry

Cell lengths 6.494, 6.494, 4.192 Å; angles 90.00, 90.00, 90.00 degrees
Fractional coordinates of all 5 atoms:
I 0.000 0.500 0.000
I 0.500 0.000 0.000
As 0.500 0.500 0.500
O 0.000 0.000 0.500
Rb 0.000 0.000 0.000

## Properties
V	176.8	Å³/cell
space group	P4/mmm (123)


Entry B
RbAsI2O | PBE | optimized geometry

Cell lengths 6.167, 6.167, 3.934 Å; angles 90.00, 90.00, 90.00 degrees
Fractional coordinates of all 5 atoms:
I 0.000 0.500 0.000
I 0.500 0.000 0.000
As 0.000 0.000 0.000
O 0.000 0.000 0.500
Rb 0.500 0.500 0.500

## Properties
V	149.6	Å³/cell
space group	P4/mmm (123)


It is entry B that is most stable; the runner-up trails by 1.489 eV/atom.


Entry A
AsRhI2O | PBE | optimized geometry

Cell lengths 5.705, 5.705, 3.748 Å; angles 90.00, 90.00, 90.00 degrees
Fractional coordinates of all 5 atoms:
I 0.000 0.500 0.000
I 0.500 0.000 0.000
As 0.000 0.000 0.000
Rh 0.500 0.500 0.500
O 0.000 0.000 0.500

## Properties
V	122.0	Å³/cell
space group	P4/mmm (123)


Entry B
AsRhI2O | PBE | optimized geometry

Cell lengths 5.607, 5.607, 3.733 Å; angles 90.00, 90.00, 90.00 degrees
Fractional coordinates of all 5 atoms:
I 0.000 0.500 0.000
I 0.500 0.000 0.000
As 0.500 0.500 0.500
Rh 0.000 0.000 0.000
O 0.000 0.000 0.500

## Properties
V	117.4	Å³/cell
space group	P4/mmm (123)


It is entry B that is most stable; the runner-up trails by 0.177 eV/atom.


Entry A
AsRuI2O | PBE | optimized geometry

Cell lengths 5.524, 5.524, 3.734 Å; angles 90.00, 90.00, 90.00 degrees
Fractional coordinates of all 5 atoms:
I 0.000 0.500 0.000
I 0.500 0.000 0.000
Ru 0.000 0.000 0.000
As 0.500 0.500 0.500
O 0.000 0.000 0.500

## Properties
V	114.0	Å³/cell
space group	P4/mmm (123)


Entry B
AsRuI2O | PBE | optimized geometry

Cell lengths 5.746, 5.746, 3.757 Å; angles 90.00, 90.00, 90.00 degrees
Fractional coordinates of all 5 atoms:
I 0.000 0.500 0.000
I 0.500 0.000 0.000
Ru 0.500 0.500 0.500
As 0.000 0.000 0.000
O 0.000 0.000 0.500

## Properties
V	124.0	Å³/cell
space group	P4/mmm (123)


It is entry A that is most stable; the runner-up trails by 0.402 eV/atom.


Entry A
AsSI2O | PBE | optimized geometry

Cell lengths 5.781, 5.781, 3.764 Å; angles 90.00, 90.00, 90.00 degrees
Fractional coordinates of all 5 atoms:
I 0.000 0.500 0.000
I 0.500 0.000 0.000
As 0.000 0.000 0.000
S 0.500 0.500 0.500
O 0.000 0.000 0.500

## Properties
V	125.8	Å³/cell
space group	P4/mmm (123)


Entry B
AsSI2O | PBE | optimized geometry

Cell lengths 5.673, 5.673, 3.593 Å; angles 90.00, 90.00, 90.00 degrees
Fractional coordinates of all 5 atoms:
I 0.000 0.500 0.000
I 0.500 0.000 0.000
As 0.500 0.500 0.500
S 0.000 0.000 0.000
O 0.000 0.000 0.500

## Properties
V	115.6	Å³/cell
space group	P4/mmm (123)


It is entry A that is most stable; the runner-up trails by 0.152 eV/atom.